1.
4
Lattice="4.601 0.000 0.000 2.301 3.985 0.000 2.301 1.328 3.757" Properties=species:S:1:pos:R:3 comment="Nb2TeS (SCAN, single point on PBEsol structure)" rho_g_cm3=8.3 formation_energy_uncorrected_ev_per_atom=-0.234 m_tot_mub_per_fu=0.00 total_energy_ev_per_atom=-28.519 pbc="T T T"
S 0.000 0.000 0.000
Te 4.601 2.656 1.878
Nb 6.902 3.985 2.818
Nb 2.301 1.328 0.939

2.
6
Lattice="3.327 0.000 0.000 0.000 5.775 -0.012 -1.664 -2.874 5.731" Properties=species:S:1:pos:R:3 comment="TiNbS4 (SCAN, single point on PBEsol structure)" rho_g_cm3=4.1 formation_energy_uncorrected_ev_per_atom=-1.268 m_tot_mub_per_fu=0.00 total_energy_ev_per_atom=-15.880 pbc="T T T"
S 0.000 1.966 4.243
S 1.664 0.935 1.476
S 1.664 -0.988 4.213
S 0.000 3.889 1.507
Nb 1.664 2.887 -0.006
Ti 0.000 0.000 0.000

3.
26
Lattice="6.608 0.000 0.000 -3.304 5.722 0.000 0.000 0.000 12.139" Properties=species:S:1:pos:R:3 comment="TiNb4S8 (SCAN, single point on PBEsol structure)" rho_g_cm3=4.9 formation_energy_uncorrected_ev_per_atom=-1.365 m_tot_mub_per_fu=0.14 total_energy_ev_per_atom=-18.717 pbc="T T T"
Nb 0.000 0.000 9.104
Nb 1.702 2.832 3.035
Nb 4.906 2.832 3.035
Nb 1.602 2.890 9.104
Nb 3.304 0.058 3.035
Nb 0.000 0.000 3.035
Nb -1.602 2.890 9.104
Nb 0.000 5.664 9.104
S 1.663 0.960 10.682
S 0.000 1.921 1.458
S 3.304 1.907 4.635
S 0.000 3.815 10.705
S 3.304 3.802 7.527
S 1.641 4.762 4.612
S 4.945 0.960 7.527
S -1.641 4.762 4.612
S 3.304 1.907 1.434
S 1.641 4.762 1.458
S -1.641 4.762 1.458
S 1.663 0.960 7.527
S 3.304 3.802 10.682
S 4.945 0.960 10.682
S 0.000 3.815 7.504
S 0.000 1.921 4.612
Ti 0.000 0.000 0.000
Ti 0.000 0.000 6.070

4.
5
Lattice="-2.055 -2.623 -2.912 -2.398 -1.759 3.277 -3.100 3.100 -0.604" Properties=species:S:1:pos:R:3 comment="Ti3NbS (SCAN, single point on PBEsol structure)" rho_g_cm3=5.1 formation_energy_uncorrected_ev_per_atom=-0.368 m_tot_mub_per_fu=0.00 total_energy_ev_per_atom=-18.538 pbc="T T T"
Ti -1.028 -1.311 -1.456
Ti -1.199 -0.879 1.638
Ti -1.550 1.550 -0.302
S 0.000 0.000 0.000
Nb -3.776 -0.641 -0.120